Below is a relaxed TiAgAs2O8 crystal, with properties calculated at the PBE level.

## Properties
Formation energy without anion corrections in meV/atom: -1314

Cell: 5.1736 5.1736 7.1047 Å, 90.00 90.00 120.00°
Space group P-3 (No. 147)
Inequivalent atoms, fractional coordinates:
Ti (0.0000, 0.0000, 0.0000) (multiplicity 1)
Ag (0.0000, 0.0000, 0.5000) (multiplicity 1)
As (0.3333, 0.6667, 0.2406) (multiplicity 2)
O (0.0533, 0.3247, 0.1662) (multiplicity 6)
O (0.3333, 0.6667, 0.4833) (multiplicity 2)